Material: Ba6Rh3I2
Method: DFT, PBE
State: relaxed

Cell: 7.9484 7.9464 9.1239 Å, 81.56 72.94 59.99°
Sites, in units of the cell vectors:
Ba1 0.3975 0.6571 0.8084
Ba2 0.7391 0.0000 0.8127
Ba3 0.0547 0.3429 0.8084
Ba4 0.2609 0.0000 0.1873
Ba5 0.6025 0.3429 0.1916
Ba6 0.9453 0.6571 0.1916
Rh1 0.0000 0.0000 0.0000
Rh2 0.3321 0.3358 0.0000
Rh3 0.6679 0.6642 0.0000
I1 0.1657 0.6686 0.5000
I2 0.8343 0.3314 0.5000

Space-group type   No. 12
Calculated density   4.826 g/cm3
Total magnetization   0.0 Bohr magnetons per cell
ΔE_f (raw)   -0.5937 eV per atom
DFT total energy   -43.2 eV per formula unit